# IrOs3Ru6

A relaxed structure of IrOs3Ru6 (PBE, Alexandria).

Unit cell a=5.1215 b=7.6994 c=9.3341 alpha=90.00 beta=123.25 gamma=90.00
Last column: nearest neighbours and their distance in Å.
Space group P2_1/c (No. 14)
Symmetry-distinct sites (fractional):
Ir1 0.0000 0.0000 0.0000 (multiplicity 2)  2 Os 2.58, 8 Ru 2.60-2.87
Os1 0.4782 0.1209 0.7478 (multiplicity 4)  1 Ru 2.35, 1 Os 2.55, 1 Ir 2.58
Os2 0.5000 0.0000 0.5000 (multiplicity 2)  2 Os 2.55, 6 Ru 2.57-2.85
Ru1 0.0196 0.1264 0.7478 (multiplicity 4)  2 Os 2.35-2.57, 1 Ir 2.60
Ru2 0.0696 0.6511 0.0679 (multiplicity 4)  5 Ru 2.56-2.85, 4 Os 2.65-2.85, 1 Ir 2.74
Ru3 0.4363 0.6506 0.4333 (multiplicity 4)  4 Ru 2.54-2.84, 4 Os 2.64-2.80, 1 Ir 2.85

Computed properties:
As for the total magnetization: 0.00 μB per cell. The value obtained for the energy is -9.273 eV/atom. The crystal system is monoclinic.